A plane-wave DFT calculation with PBE-GGA was carried out for a relaxed HoThTe2N crystal.

CIF file:
```
data_HoThTe2N
_chemical_formula_sum 'Ho2 Th2 Te4 N2'
_symmetry_space_group_name_H-M 'P 4/n m m'
_symmetry_Int_Tables_number 129
_cell_length_a 4.215
_cell_length_b 4.215
_cell_length_c 15.787
_cell_angle_alpha 90.00
_cell_angle_beta 90.00
_cell_angle_gamma 90.00
loop_
_symmetry_equiv_pos_as_xyz
'x,y,z'
'-x,-y,-z'
'-y+1/2,x,z'
'y+1/2,-x,-z'
'-x+1/2,-y+1/2,z'
'x+1/2,y+1/2,-z'
'y,-x+1/2,z'
'-y,x+1/2,-z'
'x+1/2,-y,-z'
'-x+1/2,y,z'
'-y,-x,-z'
'y,x,z'
'-x,y+1/2,-z'
'x,-y+1/2,z'
'y+1/2,x+1/2,-z'
'-y+1/2,-x+1/2,z'
loop_
_atom_site_label
_atom_site_type_symbol
_atom_site_fract_x
_atom_site_fract_y
_atom_site_fract_z
Ho1 Ho 0.250 0.250 0.126
Th1 Th 0.250 0.250 0.570
Te1 Te 0.250 0.250 0.308
Te2 Te 0.250 0.250 0.915
N1 N 0.250 0.750 0.500
```

=====

A plane-wave DFT calculation with PBE-GGA was carried out for a relaxed HoThTeN2 crystal.

CIF file:
```
data_HoThTeN2
_chemical_formula_sum 'Ho2 Th2 Te2 N4'
_symmetry_space_group_name_H-M 'P 1 21/m 1'
_symmetry_Int_Tables_number 11
_symmetry_space_group_name_Hall '-P 2yb'
_cell_length_a 7.274
_cell_length_b 4.105
_cell_length_c 8.048
_cell_angle_alpha 90.00
_cell_angle_beta 107.63
_cell_angle_gamma 90.00
loop_
_atom_site_label
_atom_site_type_symbol
_atom_site_fract_x
_atom_site_fract_y
_atom_site_fract_z
Ho1 Ho 0.144 0.250 0.414
Th1 Th 0.167 0.250 0.921
Te1 Te 0.458 0.750 0.255
N1 N 0.004 0.250 0.628
N2 N 0.016 0.750 0.882
```

=====

A plane-wave DFT calculation with PBE-GGA was carried out for a relaxed HoUTeN2 crystal.

CIF file:
```
data_HoUTeN2
_chemical_formula_sum 'Ho2 U2 Te2 N4'
_symmetry_space_group_name_H-M 'I 4 m m'
_symmetry_Int_Tables_number 107
_symmetry_space_group_name_Hall 'I 4 -2'
_cell_length_a 3.907
_cell_length_b 3.907
_cell_length_c 12.549
_cell_angle_alpha 90.00
_cell_angle_beta 90.00
_cell_angle_gamma 90.00
loop_
_atom_site_label
_atom_site_type_symbol
_atom_site_fract_x
_atom_site_fract_y
_atom_site_fract_z
Ho1 Ho 0.000 0.000 0.000
U1 U 0.000 0.000 0.328
Te1 Te 0.000 0.000 0.665
N1 N 0.000 0.500 0.405
```

=====

A plane-wave DFT calculation with PBE-GGA was carried out for a relaxed HoUTe2N crystal.

CIF file:
```
data_HoUTe2N
_chemical_formula_sum 'Ho2 U2 Te4 N2'
_symmetry_space_group_name_H-M 'P 4/n m m'
_symmetry_Int_Tables_number 129
_cell_length_a 4.045
_cell_length_b 4.045
_cell_length_c 15.952
_cell_angle_alpha 90.00
_cell_angle_beta 90.00
_cell_angle_gamma 90.00
loop_
_symmetry_equiv_pos_as_xyz
'x,y,z'
'-x,-y,-z'
'-y+1/2,x,z'
'y+1/2,-x,-z'
'-x+1/2,-y+1/2,z'
'x+1/2,y+1/2,-z'
'y,-x+1/2,z'
'-y,x+1/2,-z'
'x+1/2,-y,-z'
'-x+1/2,y,z'
'-y,-x,-z'
'y,x,z'
'-x,y+1/2,-z'
'x,-y+1/2,z'
'y+1/2,x+1/2,-z'
'-y+1/2,-x+1/2,z'
loop_
_atom_site_label
_atom_site_type_symbol
_atom_site_fract_x
_atom_site_fract_y
_atom_site_fract_z
Ho1 Ho 0.250 0.250 0.135
U1 U 0.250 0.250 0.568
Te1 Te 0.250 0.250 0.319
Te2 Te 0.250 0.250 0.918
N1 N 0.250 0.750 0.500
```

=====

A plane-wave DFT calculation with PBE-GGA was carried out for a relaxed Ho2ZrTe2N2 crystal.

CIF file:
```
data_Ho2ZrTe2N2
_chemical_formula_sum 'Ho4 Zr2 Te4 N4'
_symmetry_space_group_name_H-M 'I 4/m m m'
_symmetry_Int_Tables_number 139
_symmetry_space_group_name_Hall '-I 4 2'
_cell_length_a 4.234
_cell_length_b 4.234
_cell_length_c 16.688
_cell_angle_alpha 90.00
_cell_angle_beta 90.00
_cell_angle_gamma 90.00
loop_
_atom_site_label
_atom_site_type_symbol
_atom_site_fract_x
_atom_site_fract_y
_atom_site_fract_z
Ho1 Ho 0.000 0.000 0.097
Zr1 Zr 0.000 0.000 0.500
Te1 Te 0.000 0.000 0.322
N1 N 0.000 0.500 0.000
```

=====

A plane-wave DFT calculation with PBE-GGA was carried out for a relaxed Ho5ThN6 crystal.

CIF file:
```
data_Ho5ThN6
_chemical_formula_sum 'Ho10 Th2 N12'
_symmetry_space_group_name_H-M 'C 1 2/m 1'
_symmetry_Int_Tables_number 12
_symmetry_space_group_name_Hall '-C 2y'
_cell_length_a 6.047
_cell_length_b 10.472
_cell_length_c 6.045
_cell_angle_alpha 90.00
_cell_angle_beta 109.46
_cell_angle_gamma 90.00
loop_
_atom_site_label
_atom_site_type_symbol
_atom_site_fract_x
_atom_site_fract_y
_atom_site_fract_z
Ho1 Ho 0.000 0.000 0.000
Ho2 Ho 0.000 0.166 0.500
Ho3 Ho 0.000 0.331 0.000
Th1 Th 0.000 0.500 0.500
N1 N 0.248 0.000 0.749
N2 N 0.248 0.168 0.248
```

=====

A plane-wave DFT calculation with PBE-GGA was carried out for a relaxed HoThN crystal.

CIF file:
```
data_HoThN
_chemical_formula_sum 'Ho2 Th2 N2'
_symmetry_space_group_name_H-M 'I 4 m m'
_symmetry_Int_Tables_number 107
_symmetry_space_group_name_Hall 'I 4 -2'
_cell_length_a 3.151
_cell_length_b 3.151
_cell_length_c 12.267
_cell_angle_alpha 90.00
_cell_angle_beta 90.00
_cell_angle_gamma 90.00
loop_
_atom_site_label
_atom_site_type_symbol
_atom_site_fract_x
_atom_site_fract_y
_atom_site_fract_z
Ho1 Ho 0.000 0.000 0.000
Th1 Th 0.000 0.000 0.241
N1 N 0.000 0.000 0.601
```

=====

A plane-wave DFT calculation with PBE-GGA was carried out for a relaxed Ho4ThN5 crystal.

CIF file:
```
data_Ho4ThN5
_chemical_formula_sum 'Ho8 Th2 N10'
_symmetry_space_group_name_H-M 'I 4/m'
_symmetry_Int_Tables_number 87
_symmetry_space_group_name_Hall '-I 4'
_cell_length_a 7.824
_cell_length_b 7.824
_cell_length_c 4.950
_cell_angle_alpha 90.00
_cell_angle_beta 90.00
_cell_angle_gamma 90.00
loop_
_atom_site_label
_atom_site_type_symbol
_atom_site_fract_x
_atom_site_fract_y
_atom_site_fract_z
Ho1 Ho 0.099 0.696 0.000
Th1 Th 0.000 0.000 0.500
N1 N 0.000 0.000 0.000
N2 N 0.099 0.698 0.500
```

=====

A plane-wave DFT calculation with PBE-GGA was carried out for a relaxed Ho2ThN crystal.

CIF file:
```
data_Ho2ThN
_chemical_formula_sum 'Ho6 Th3 N3'
_symmetry_space_group_name_H-M 'R -3 m'
_symmetry_Int_Tables_number 166
_symmetry_space_group_name_Hall '-R 3 2"'
_cell_length_a 3.4138
_cell_length_b 3.4138
_cell_length_c 28.7708
_cell_angle_alpha 90.00
_cell_angle_beta 90.00
_cell_angle_gamma 120.00
loop_
_atom_site_label
_atom_site_type_symbol
_atom_site_fract_x
_atom_site_fract_y
_atom_site_fract_z
Ho1 Ho 0.0000 0.0000 0.1203
Th1 Th 0.0000 0.0000 0.0000
N1 N 0.0000 0.0000 0.5000
```

=====

A plane-wave DFT calculation with PBE-GGA was carried out for a relaxed HoThN crystal.

CIF file:
```
data_HoThN
_chemical_formula_sum 'Ho16 Th16 N16'
_symmetry_space_group_name_H-M 'F d d d'
_symmetry_Int_Tables_number 70
_cell_length_a 9.155
_cell_length_b 9.403
_cell_length_c 11.902
_cell_angle_alpha 90.00
_cell_angle_beta 90.00
_cell_angle_gamma 90.00
loop_
_symmetry_equiv_pos_as_xyz
'x,y,z'
'-x,-y,-z'
'-x+1/4,-y+1/4,z'
'x+1/4,y+1/4,-z'
'x,-y+1/4,-z+1/4'
'-x,y+1/4,z+1/4'
'-x+1/4,y,-z+1/4'
'x+1/4,-y,z+1/4'
'x,y+1/2,z+1/2'
'-x,-y+1/2,-z+1/2'
'-x+1/4,-y+3/4,z+1/2'
'x+1/4,y+3/4,-z+1/2'
'x,-y+3/4,-z+3/4'
'-x,y+3/4,z+3/4'
'-x+1/4,y+1/2,-z+3/4'
'x+1/4,-y+1/2,z+3/4'
'x+1/2,y,z+1/2'
'-x+1/2,-y,-z+1/2'
'-x+3/4,-y+1/4,z+1/2'
'x+3/4,y+1/4,-z+1/2'
'x+1/2,-y+1/4,-z+3/4'
'-x+1/2,y+1/4,z+3/4'
'-x+3/4,y,-z+3/4'
'x+3/4,-y,z+3/4'
'x+1/2,y+1/2,z'
'-x+1/2,-y+1/2,-z'
'-x+3/4,-y+3/4,z'
'x+3/4,y+3/4,-z'
'x+1/2,-y+3/4,-z+1/4'
'-x+1/2,y+3/4,z+1/4'
'-x+3/4,y+1/2,-z+1/4'
'x+3/4,-y+1/2,z+1/4'
loop_
_atom_site_label
_atom_site_type_symbol
_atom_site_fract_x
_atom_site_fract_y
_atom_site_fract_z
Ho1 Ho 0.000 0.000 0.000
Th1 Th 0.125 0.125 0.489
N1 N 0.125 0.328 0.625
```

=====

A plane-wave DFT calculation with PBE-GGA was carried out for a relaxed HoTh5N6 crystal.

CIF file:
```
data_HoTh5N6
_chemical_formula_sum 'Ho2 Th10 N12'
_symmetry_space_group_name_H-M 'C 1 2/m 1'
_symmetry_Int_Tables_number 12
_symmetry_space_group_name_Hall '-C 2y'
_cell_length_a 6.282
_cell_length_b 10.881
_cell_length_c 6.288
_cell_angle_alpha 90.00
_cell_angle_beta 109.42
_cell_angle_gamma 90.00
loop_
_atom_site_label
_atom_site_type_symbol
_atom_site_fract_x
_atom_site_fract_y
_atom_site_fract_z
Ho1 Ho 0.000 0.000 0.000
Th1 Th 0.000 0.166 0.500
Th2 Th 0.000 0.333 0.000
Th3 Th 0.000 0.500 0.500
N1 N 0.244 0.000 0.753
N2 N 0.245 0.164 0.244
```

=====

A plane-wave DFT calculation with PBE-GGA was carried out for a relaxed Ho2ThN3 crystal.

CIF file:
```
data_Ho2ThN3
_chemical_formula_sum 'Ho8 Th4 N12'
_symmetry_space_group_name_H-M 'C 1 2/m 1'
_symmetry_Int_Tables_number 12
_symmetry_space_group_name_Hall '-C 2y'
_cell_length_a 13.570
_cell_length_b 3.470
_cell_length_c 8.496
_cell_angle_alpha 90.00
_cell_angle_beta 108.82
_cell_angle_gamma 90.00
loop_
_atom_site_label
_atom_site_type_symbol
_atom_site_fract_x
_atom_site_fract_y
_atom_site_fract_z
Ho1 Ho 0.173 0.000 0.339
Ho2 Ho 0.174 0.500 0.840
Th1 Th 0.000 0.000 0.500
Th2 Th 0.000 0.500 0.000
N1 N 0.031 0.500 0.304
N2 N 0.143 0.000 0.026
N3 N 0.195 0.000 0.638
```

=====

A plane-wave DFT calculation with PBE-GGA was carried out for a relaxed Ho2ThN crystal.

CIF file:
```
data_Ho2ThN
_chemical_formula_sum 'Ho2 Th1 N1'
_symmetry_space_group_name_H-M 'P 4/m m m'
_symmetry_Int_Tables_number 123
_symmetry_space_group_name_Hall '-P 4 2'
_cell_length_a 3.201
_cell_length_b 3.201
_cell_length_c 8.430
_cell_angle_alpha 90.00
_cell_angle_beta 90.00
_cell_angle_gamma 90.00
loop_
_atom_site_label
_atom_site_type_symbol
_atom_site_fract_x
_atom_site_fract_y
_atom_site_fract_z
Ho1 Ho 0.000 0.000 0.167
Th1 Th 0.500 0.500 0.500
N1 N 0.500 0.500 0.000
```

=====

A plane-wave DFT calculation with PBE-GGA was carried out for a relaxed HoThN crystal.

CIF file:
```
data_HoThN
_chemical_formula_sum 'Ho4 Th4 N4'
_symmetry_space_group_name_H-M 'F -4 3 m'
_symmetry_Int_Tables_number 216
_symmetry_space_group_name_Hall 'F -4 2 3'
_cell_length_a 6.202
_cell_length_b 6.202
_cell_length_c 6.202
_cell_angle_alpha 90.00
_cell_angle_beta 90.00
_cell_angle_gamma 90.00
loop_
_atom_site_label
_atom_site_type_symbol
_atom_site_fract_x
_atom_site_fract_y
_atom_site_fract_z
Ho1 Ho 0.000 0.000 0.000
Th1 Th 0.000 0.000 0.500
N1 N 0.250 0.250 0.250
```

=====

A plane-wave DFT calculation with PBE-GGA was carried out for a relaxed HoTh2N3 crystal.

CIF file:
```
data_HoTh2N3
_chemical_formula_sum 'Ho4 Th8 N12'
_symmetry_space_group_name_H-M 'C 1 2/m 1'
_symmetry_Int_Tables_number 12
_symmetry_space_group_name_Hall '-C 2y'
_cell_length_a 6.221
_cell_length_b 10.780
_cell_length_c 6.237
_cell_angle_alpha 90.00
_cell_angle_beta 109.43
_cell_angle_gamma 90.00
loop_
_atom_site_label
_atom_site_type_symbol
_atom_site_fract_x
_atom_site_fract_y
_atom_site_fract_z
Ho1 Ho 0.000 0.167 0.000
Th1 Th 0.000 0.000 0.500
Th2 Th 0.000 0.333 0.500
Th3 Th 0.000 0.500 0.000
N1 N 0.241 0.000 0.241
N2 N 0.249 0.170 0.757
```

=====

A plane-wave DFT calculation with PBE-GGA was carried out for a relaxed HoThN crystal.

CIF file:
```
data_HoThN
_chemical_formula_sum 'Ho1 Th1 N1'
_symmetry_space_group_name_H-M 'P 3 m 1'
_symmetry_Int_Tables_number 156
_symmetry_space_group_name_Hall 'P 3 -2"'
_cell_length_a 3.5413
_cell_length_b 3.5413
_cell_length_c 6.2133
_cell_angle_alpha 90.00
_cell_angle_beta 90.00
_cell_angle_gamma 120.00
loop_
_atom_site_label
_atom_site_type_symbol
_atom_site_fract_x
_atom_site_fract_y
_atom_site_fract_z
Ho1 Ho 0.0000 0.0000 0.0000
Th1 Th 0.6667 0.3333 0.5506
N1 N 0.3333 0.6667 0.7982
```

=====

A plane-wave DFT calculation with PBE-GGA was carried out for a relaxed HoThN2 crystal.

CIF file:
```
data_HoThN2
_chemical_formula_sum 'Ho3 Th3 N6'
_symmetry_space_group_name_H-M 'R 3 m'
_symmetry_Int_Tables_number 160
_symmetry_space_group_name_Hall 'R 3 -2"'
_cell_length_a 3.5118
_cell_length_b 3.5118
_cell_length_c 18.2385
_cell_angle_alpha 90.00
_cell_angle_beta 90.00
_cell_angle_gamma 120.00
loop_
_atom_site_label
_atom_site_type_symbol
_atom_site_fract_x
_atom_site_fract_y
_atom_site_fract_z
Ho1 Ho 0.0000 0.0000 0.0000
Th1 Th 0.0000 0.0000 0.8261
N1 N 0.0000 0.0000 0.2423
N2 N 0.0000 0.0000 0.4086
```

=====

A plane-wave DFT calculation with PBE-GGA was carried out for a relaxed HoThTiN3 crystal.

CIF file:
```
data_HoThTiN3
_chemical_formula_sum 'Ho2 Th2 Ti2 N6'
_symmetry_space_group_name_H-M 'P 1 21/m 1'
_symmetry_Int_Tables_number 11
_symmetry_space_group_name_Hall '-P 2yb'
_cell_length_a 7.290
_cell_length_b 3.426
_cell_length_c 7.742
_cell_angle_alpha 90.00
_cell_angle_beta 97.21
_cell_angle_gamma 90.00
loop_
_atom_site_label
_atom_site_type_symbol
_atom_site_fract_x
_atom_site_fract_y
_atom_site_fract_z
Ho1 Ho 0.133 0.250 0.152
Th1 Th 0.337 0.750 0.820
Ti1 Ti 0.386 0.750 0.414
N1 N 0.100 0.250 0.860
N2 N 0.325 0.250 0.530
N3 N 0.380 0.750 0.152
```

=====

A plane-wave DFT calculation with PBE-GGA was carried out for a relaxed Ho2ThTlN crystal.

CIF file:
```
data_Ho2ThTlN
_chemical_formula_sum 'Ho2 Th1 Tl1 N1'
_symmetry_space_group_name_H-M 'P 4/m m m'
_symmetry_Int_Tables_number 123
_symmetry_space_group_name_Hall '-P 4 2'
_cell_length_a 4.871
_cell_length_b 4.871
_cell_length_c 4.906
_cell_angle_alpha 90.00
_cell_angle_beta 90.00
_cell_angle_gamma 90.00
loop_
_atom_site_label
_atom_site_type_symbol
_atom_site_fract_x
_atom_site_fract_y
_atom_site_fract_z
Ho1 Ho 0.000 0.500 0.000
Th1 Th 0.000 0.000 0.500
Tl1 Tl 0.500 0.500 0.500
N1 N 0.000 0.000 0.000
```

=====

A plane-wave DFT calculation with PBE-GGA was carried out for a relaxed HoTmTh2N4 crystal.

CIF file:
```
data_HoTmTh2N4
_chemical_formula_sum 'Ho1 Tm1 Th2 N4'
_symmetry_space_group_name_H-M 'P 1 2/m 1'
_symmetry_Int_Tables_number 10
_symmetry_space_group_name_Hall '-P 2y'
_cell_length_a 6.141
_cell_length_b 3.555
_cell_length_c 6.153
_cell_angle_alpha 90.00
_cell_angle_beta 109.50
_cell_angle_gamma 90.00
loop_
_atom_site_label
_atom_site_type_symbol
_atom_site_fract_x
_atom_site_fract_y
_atom_site_fract_z
Ho1 Ho 0.000 0.000 0.000
Tm1 Tm 0.000 0.500 0.500
Th1 Th 0.500 0.000 0.500
Th2 Th 0.500 0.500 0.000
N1 N 0.240 0.000 0.745
N2 N 0.241 0.500 0.249
```

=====

Number 1: E -6.852 eV per atom, uncorrected formation energy -1.531 eV per atom. Number 2: E -7.785 eV per atom, uncorrected formation energy -1.427 eV per atom. Number 3: E -8.637 eV per atom, uncorrected formation energy -1.505 eV per atom. Number 4: E -7.350 eV per atom, uncorrected formation energy -1.255 eV per atom. Number 5: E -7.159 eV per atom, uncorrected formation energy -1.354 eV per atom. Number 6: E -8.410 eV per atom, uncorrected formation energy -1.722 eV per atom. Number 7: E -7.065 eV per atom, uncorrected formation energy -0.291 eV per atom. Number 8: E -8.449 eV per atom, uncorrected formation energy -1.713 eV per atom. Number 9: E -6.910 eV per atom, uncorrected formation energy -0.685 eV per atom. Number 10: E -7.396 eV per atom, uncorrected formation energy -0.621 eV per atom. Number 11: E -9.216 eV per atom, uncorrected formation energy -1.580 eV per atom. Number 12: E -8.256 eV per atom, uncorrected formation energy -1.330 eV per atom. Number 13: E -6.405 eV per atom, uncorrected formation energy -0.180 eV per atom. Number 14: E -6.893 eV per atom, uncorrected formation energy -0.119 eV per atom. Number 15: E -8.998 eV per atom, uncorrected formation energy -1.599 eV per atom. Number 16: E -7.701 eV per atom, uncorrected formation energy -0.926 eV per atom. Number 17: E -8.525 eV per atom, uncorrected formation energy -1.363 eV per atom. Number 18: E -8.815 eV per atom, uncorrected formation energy -1.336 eV per atom. Number 19: E -6.271 eV per atom, uncorrected formation energy -0.818 eV per atom. Number 20: E -8.786 eV per atom, uncorrected formation energy -1.638 eV per atom.